First-principles (GGA-PBE) data for TlAuSe2 after structural relaxation, as listed in Alexandria via LeMat-Bulk.

```
data_TlAuSe2
_chemical_formula_sum 'Tl2 Au2 Se4'
_space_group_name_H-M_alt 'I m m 2'
_space_group_IT_number 44
_space_group_name_Hall 'I 2 -2'
_cell_length_a 3.7886
_cell_length_b 6.3925
_cell_length_c 8.3797
_cell_angle_alpha 90.00
_cell_angle_beta 90.00
_cell_angle_gamma 90.00
loop_
_atom_site_label
_atom_site_fract_x
_atom_site_fract_y
_atom_site_fract_z
_atom_site_occupancy
Tl1 0.0000 0.0000 0.0000 1
Au1 0.0000 0.5000 0.7728 1
Se1 0.0000 0.0000 0.4900 1
Se2 0.0000 0.5000 0.2134 1
```

As for the uncorrected formation energy: 119 meV per atom.